VASP calculation (PBE) on HoZn7Co5 after structural relaxation.

Volume, Å³/f.u.: 181.2
Total DFT energy (no corrections), eV for the cell shown: -51.0
Calculated density, Mg/m³: 8.409

Cell: 4.948 6.529 6.529 Å, 81.64 67.93 67.93°
Site moments in Bohr magnetons follow the coordinates.
Element x y z (fractional)
Zn (0.499, 0.215, 0.788)  -0.03
Zn (0.273, 0.227, 0.227)  -0.03
Zn (0.992, 0.663, 0.353)  -0.02
Zn (0.348, 0.651, 0.651)  -0.03
Zn (0.673, 0.329, 0.329)  -0.03
Zn (0.992, 0.353, 0.663)  -0.02
Zn (0.499, 0.788, 0.215)  -0.03
Co (0.999, 0.999, 0.511)  1.10
Co (0.491, 0.999, 0.511)  1.12
Co (0.999, 0.511, 0.999)  1.10
Co (0.729, 0.770, 0.770)  1.32
Co (0.491, 0.511, 0.999)  1.12
Ho (0.017, 0.983, 0.983)  -0.16

---

VASP calculation (PBE) on HoZn8Co2 after structural relaxation.

Volume, Å³/f.u.: 198.2
Total DFT energy (no corrections), eV for the cell shown: -26.4
Calculated density, Mg/m³: 6.755

Cell: 6.171 6.171 5.204 Å, 90.00 90.00 90.00°
Site moments in Bohr magnetons follow the coordinates.
Element x y z (fractional)
Zn (0.212, 0.788, 0.758)  -0.01
Zn (0.788, 0.788, 0.242)  -0.01
Zn (0.788, 0.788, 0.758)  -0.01
Zn (0.788, 0.212, 0.758)  -0.01
Zn (0.788, 0.212, 0.242)  -0.01
Zn (0.212, 0.788, 0.242)  -0.01
Zn (0.212, 0.212, 0.758)  -0.01
Zn (0.212, 0.212, 0.242)  -0.01
Co (0.500, 0.000, 0.000)  0.70
Co (0.000, 0.500, 0.000)  0.70
Ho (0.500, 0.500, 0.500)  -0.03

---

VASP calculation (PBE) on HoZn5Co2 after structural relaxation.

Volume, Å³/f.u.: 126.6
Total DFT energy (no corrections), eV for the cell shown: -26.2
Calculated density, Mg/m³: 8.000

Cell: 3.857 6.104 6.104 Å, 73.44 71.58 71.58°
Element x y z (fractional)
Zn (0.340, 0.843, 0.477)
Zn (0.000, 0.500, 0.500)
Zn (0.660, 0.523, 0.157)
Zn (0.660, 0.157, 0.523)
Zn (0.340, 0.477, 0.843)
Co (0.265, 0.235, 0.235)
Co (0.735, 0.765, 0.765)
Ho (0.000, 0.000, 0.000)

---

VASP calculation (PBE) on Ho6ZnCo after structural relaxation.

Volume, Å³/f.u.: 206.4
Total DFT energy (no corrections), eV for the cell shown: -36.5
Calculated density, Mg/m³: 8.961
Polymorph energy (0 for the lowest one), eV per formula unit: 0.00

Cell: 4.918 4.919 9.214 Å, 74.52 74.51 90.00°
Element x y z (fractional)
Ho (0.903, 0.403, 0.194)
Ho (0.749, 0.749, 0.502)
Ho (0.597, 0.097, 0.806)
Ho (0.251, 0.251, 0.498)
Ho (0.097, 0.597, 0.806)
Ho (0.403, 0.903, 0.194)
Co (0.000, 0.000, 0.000)
Zn (0.500, 0.500, 0.000)

---

Repeat the fourth record exactly.
VASP calculation (PBE) on Ho6ZnCo after structural relaxation.

Volume, Å³/f.u.: 206.4
Total DFT energy (no corrections), eV for the cell shown: -36.5
Calculated density, Mg/m³: 8.961
Polymorph energy (0 for the lowest one), eV per formula unit: 0.00

Cell: 4.918 4.919 9.214 Å, 74.52 74.51 90.00°
Element x y z (fractional)
Ho (0.903, 0.403, 0.194)
Ho (0.749, 0.749, 0.502)
Ho (0.597, 0.097, 0.806)
Ho (0.251, 0.251, 0.498)
Ho (0.097, 0.597, 0.806)
Ho (0.403, 0.903, 0.194)
Co (0.000, 0.000, 0.000)
Zn (0.500, 0.500, 0.000)

---

Q: Which value of total DFT energy (no corrections) does entry 3 give?
A: -26.2 eV for the cell shown

---

Q: What is the volume in the fourth record?
A: 206.4 Å³/f.u.